# Hf5ZrAl3, relaxed, DFT GGA-PBE
data_Hf5ZrAl3
_chemical_formula_sum 'Hf10 Zr2 Al6'
_cell_length_a 5.907
_cell_length_b 8.398
_cell_length_c 8.398
_cell_angle_alpha 120.00
_cell_angle_beta 90.00
_cell_angle_gamma 90.00
_space_group_name_H-M_alt 'P 1'
_space_group_IT_number 1
loop_
_space_group_symop_operation_xyz
'x,y,z'
loop_
_atom_site_label
_atom_site_fract_x
_atom_site_fract_y
_atom_site_fract_z
_atom_site_occupancy
Hf1 0.000 0.667 0.333 1
Hf2 0.500 0.333 0.667 1
Hf3 0.000 0.333 0.667 1
Hf4 0.500 0.667 0.333 1
Hf5 0.750 0.666 0.666 1
Hf6 0.750 0.000 0.334 1
Hf7 0.750 0.334 0.000 1
Hf8 0.250 0.334 0.334 1
Hf9 0.250 0.000 0.666 1
Hf10 0.250 0.666 0.000 1
Zr1 0.000 0.000 0.000 1
Zr2 0.500 0.000 0.000 1
Al1 0.750 0.334 0.334 1
Al2 0.750 0.000 0.666 1
Al3 0.750 0.666 0.000 1
Al4 0.250 0.666 0.666 1
Al5 0.250 0.000 0.334 1
Al6 0.250 0.334 0.000 1
# Final energy, eV per atom: -8.013
# Crystal system: hexagonal